## LiTmSiRh (PBE)

Data for a geometry-optimized LiTmSiRh structure.

Summary:
Density ... 7974 kg/m3
SG ... F-43m (216)
Formation energy without anion corrections ... -2.6 eV/f.u.
Density of states at the Fermi level ... 4.153 states/eV/cell
E_tot ... -5.447 eV/atom
Crystal system ... cubic

a = 4.4875 Å, b = 4.4875 Å, c = 4.4875 Å
α = 60.00°, β = 60.00°, γ = 60.00°
Sites, in units of the cell vectors:
1 Li 0.0000 0.0000 0.0000
2 Tm 0.7500 0.7500 0.7500
3 Si 0.2500 0.2500 0.2500
4 Rh 0.5000 0.5000 0.5000

---

## Li2SiRhW (PBE)

Data for a geometry-optimized Li2SiRhW structure.

Summary:
Density ... 6724 kg/m3
SG ... P4/mmm (123)
Formation energy without anion corrections ... 4.0 eV/f.u.
Density of states at the Fermi level ... 3.356 states/eV/cell
E_tot ... -5.117 eV/atom
Crystal system ... tetragonal

a = 4.1667 Å, b = 4.1667 Å, c = 4.6755 Å
α = 90.00°, β = 90.00°, γ = 90.00°
Sites, in units of the cell vectors:
1 Li 0.0000 0.5000 0.0000
2 Li 0.5000 0.0000 0.0000
3 Si 0.0000 0.0000 0.0000
4 Rh 0.5000 0.5000 0.5000
5 W 0.0000 0.0000 0.5000

---

## LiYSi2Rh (PBE)

Data for a geometry-optimized LiYSi2Rh structure.

Summary:
Density ... 5117 kg/m3
SG ... I-4m2 (119)
Formation energy without anion corrections ... -3.9 eV/f.u.
Density of states at the Fermi level ... 2.950 states/eV/cell
E_tot ... -6.104 eV/atom
Crystal system ... tetragonal

a = 5.8292 Å, b = 5.8292 Å, c = 5.8292 Å
α = 139.51°, β = 139.51°, γ = 58.60°
Sites, in units of the cell vectors:
1 Li 0.0000 0.0000 0.0000
2 Y 0.7500 0.2500 0.5000
3 Si 0.1333 0.6333 0.5000
4 Si 0.3667 0.8667 0.5000
5 Rh 0.5000 0.5000 0.0000

---

## LiYSiRh (PBE)

Data for a geometry-optimized LiYSiRh structure.

Summary:
Density ... 5705 kg/m3
SG ... F-43m (216)
Formation energy without anion corrections ... -2.4 eV/f.u.
Density of states at the Fermi level ... 4.437 states/eV/cell
E_tot ... -5.899 eV/atom
Crystal system ... cubic

a = 4.5367 Å, b = 4.5367 Å, c = 4.5367 Å
α = 60.00°, β = 60.00°, γ = 60.00°
Sites, in units of the cell vectors:
1 Li 0.0000 0.0000 0.0000
2 Y 0.7500 0.7500 0.7500
3 Si 0.2500 0.2500 0.2500
4 Rh 0.5000 0.5000 0.5000